# 1
Density functional theory data (GGA-PBE) for Cr2CoRu after structural relaxation.

## Properties
- Mass density: 9.1 g/cm³
- Electronic total energy: -35.0 eV per cell
- Spin magnetization: 0.00 μB per formula unit
- Space group: Pm, No. 6

Cell lengths 3.9042, 2.5827, 4.9127 Å; angles 76.62, 90.00, 90.00 degrees
Last column: nearest neighbours and their distance in Å.
Fractional coordinates of all 4 atoms:
Cr 0.0000 0.1231 0.9849  4 Cr 2.35-2.58, 4 Co 2.44-2.63, 2 Ru 2.45-2.60
Cr 0.5000 0.1193 0.2514  4 Cr 2.35-2.58, 3 Co 2.52-2.63, 2 Ru 2.52
Co 0.5000 0.7828 0.7864  7 Cr 2.44-2.63, 2 Co 2.58, 2 Ru 2.70
Ru 0.0000 0.4748 0.4774  6 Cr 2.45-2.64, 2 Ru 2.58, 2 Co 2.70

# 2
Density functional theory data (GGA-PBE) for H6IrPdPb after structural relaxation.

## Properties
- Mass density: 8.9 g/cm³
- Electronic total energy: -37.6 eV per cell
- Spin magnetization: 0.00 μB per formula unit
- Space group: P1, No. 1

Cell lengths 4.9619, 5.3498, 4.7503 Å; angles 90.73, 73.88, 54.25 degrees
Last column: nearest neighbours and their distance in Å.
Fractional coordinates of all 9 atoms:
H 0.9588 0.5271 0.7341  1 Ir 1.71, 1 Pd 1.91
H 0.6906 0.3259 0.5608  1 Ir 1.72, 1 Pd 1.86, 1 H 1.92
H 0.3177 0.0638 0.4053  1 Ir 1.68, 1 Pd 1.87
H 0.5224 0.0896 0.7003  1 Ir 1.70
H 0.1160 0.4402 0.2482  1 Ir 1.72
H 0.3820 0.6342 0.3338  1 Ir 1.73, 1 Pd 1.91
Ir 0.3709 0.3398 0.4687  6 H 1.68-1.73
Pb 0.0223 0.8728 0.0106  3 H 2.44-2.47
Pd 0.6191 0.7067 0.5381  6 H 1.86-1.99

# 3
Density functional theory data (GGA-PBE) for UPaH2 after structural relaxation.

## Properties
- Mass density: 16.0 g/cm³
- E above lowest polymorph: 0.318 eV/atom
- Electronic total energy: -26.4 eV per cell
- Spin magnetization: 0.00 μB per formula unit
- Space group: P4/mmm, No. 123

Cell lengths 2.9165, 4.0889, 4.0889 Å; angles 90.00, 90.00, 90.00 degrees
Last column: nearest neighbours and their distance in Å.
Fractional coordinates of all 4 atoms:
U 0.5000 0.0000 0.0000  8 H 2.51
H 0.0000 0.0000 0.5000  4 Pa 2.51, 4 U 2.51
H 0.0000 0.5000 0.0000  4 Pa 2.51, 4 U 2.51
Pa 0.5000 0.5000 0.5000  8 H 2.51

# 4
Density functional theory data (GGA-PBE) for Ga12Hg3Te5 after structural relaxation.

## Properties
- Mass density: 6.0 g/cm³
- Electronic total energy: -208.7 eV per cell
- Spin magnetization: 0.00 μB per formula unit
- Space group: Ia-3d, No. 230
- Energy relative to the elements, uncorrected: 0.0386 eV/atom

Cell lengths 14.4261, 14.4261, 14.4261 Å; angles 109.47, 109.47, 109.47 degrees
Last column: nearest neighbours and their distance in Å.
Fractional coordinates of all 80 atoms:
Ga 0.9127 0.0770 0.6492  1 Ga 2.81, 2 Te 2.83-2.93, 2 Hg 2.89-3.01
Ga 0.3357 0.5722 0.4230  1 Ga 2.81, 2 Te 2.83-2.93, 2 Hg 2.89-3.01
Ga 0.2365 0.5722 0.6492  1 Ga 2.81, 2 Te 2.83-2.93, 2 Hg 2.89-3.01
Ga 0.0770 0.1643 0.4278  1 Ga 2.81, 2 Te 2.83-2.93, 2 Hg 2.89-3.01
Ga 0.1492 0.7365 0.5722  1 Ga 2.81, 2 Te 2.83-2.93, 2 Hg 2.89-3.01
Ga 0.0770 0.9127 0.1492  1 Ga 2.81, 2 Te 2.83-2.93, 2 Hg 2.89-3.01
Ga 0.5722 0.3357 0.9230  1 Ga 2.81, 2 Te 2.83-2.93, 2 Hg 2.89-3.01
Ga 0.1643 0.0770 0.9278  1 Ga 2.81, 2 Te 2.83-2.93, 2 Hg 2.89-3.01
Ga 0.6643 0.4278 0.5770  1 Ga 2.81, 2 Te 2.83-2.93, 2 Hg 2.89-3.01
Ga 0.9278 0.5770 0.1643  1 Ga 2.81, 2 Te 2.83-2.93, 2 Hg 2.89-3.01
Ga 0.9230 0.8357 0.5722  1 Ga 2.81, 2 Te 2.83-2.93, 2 Hg 2.89-3.01
Ga 0.5770 0.9278 0.6643  1 Ga 2.81, 2 Te 2.83-2.93, 2 Hg 2.89-3.01
Ga 0.9278 0.3508 0.2635  1 Ga 2.81, 2 Te 2.83-2.93, 2 Hg 2.89-3.01
Ga 0.3508 0.9278 0.7635  1 Ga 2.81, 2 Te 2.83-2.93, 2 Hg 2.89-3.01
Ga 0.9127 0.8357 0.7635  1 Ga 2.81, 2 Te 2.83-2.93, 2 Hg 2.89-3.01
Ga 0.7635 0.3357 0.9127  1 Ga 2.81, 2 Te 2.83-2.93, 2 Hg 2.89-3.01
Ga 0.5873 0.7365 0.6643  1 Ga 2.81, 2 Te 2.83-2.93, 2 Hg 2.89-3.01
Ga 0.0873 0.1643 0.2365  1 Ga 2.81, 2 Te 2.83-2.93, 2 Hg 2.89-3.01
Ga 0.7365 0.1492 0.0722  1 Ga 2.81, 2 Te 2.83-2.93, 2 Hg 2.89-3.01
Ga 0.8508 0.2635 0.4278  1 Ga 2.81, 2 Te 2.83-2.93, 2 Hg 2.89-3.01
Ga 0.3357 0.7635 0.4127  1 Ga 2.81, 2 Te 2.83-2.93, 2 Hg 2.89-3.01
Ga 0.3508 0.4230 0.0873  1 Ga 2.81, 2 Te 2.83-2.93, 2 Hg 2.89-3.01
Ga 0.0722 0.4230 0.8357  1 Ga 2.81, 2 Te 2.83-2.93, 2 Hg 2.89-3.01
Ga 0.2365 0.6643 0.0873  1 Ga 2.81, 2 Te 2.83-2.93, 2 Hg 2.89-3.01
Ga 0.2635 0.4127 0.8357  1 Ga 2.81, 2 Te 2.83-2.93, 2 Hg 2.89-3.01
Ga 0.8357 0.9127 0.2635  1 Ga 2.81, 2 Te 2.83-2.93, 2 Hg 2.89-3.01
Ga 0.4230 0.0722 0.3357  1 Ga 2.81, 2 Te 2.83-2.93, 2 Hg 2.89-3.01
Ga 0.7635 0.4278 0.3508  1 Ga 2.81, 2 Te 2.83-2.93, 2 Hg 2.89-3.01
Ga 0.0873 0.9230 0.3508  1 Ga 2.81, 2 Te 2.83-2.93, 2 Hg 2.89-3.01
Ga 0.5873 0.8508 0.4230  1 Ga 2.81, 2 Te 2.83-2.93, 2 Hg 2.89-3.01
Ga 0.9230 0.0873 0.8508  1 Ga 2.81, 2 Te 2.83-2.93, 2 Hg 2.89-3.01
Ga 0.6492 0.5770 0.9127  1 Ga 2.81, 2 Te 2.83-2.93, 2 Hg 2.89-3.01
Ga 0.4278 0.6643 0.0770  1 Ga 2.81, 2 Te 2.83-2.93, 2 Hg 2.89-3.01
Ga 0.4127 0.1492 0.5770  1 Ga 2.81, 2 Te 2.83-2.93, 2 Hg 2.89-3.01
Ga 0.4127 0.2635 0.3357  1 Ga 2.81, 2 Te 2.83-2.93, 2 Hg 2.89-3.01
Ga 0.4230 0.3508 0.5873  1 Ga 2.81, 2 Te 2.83-2.93, 2 Hg 2.89-3.01
Ga 0.6643 0.2365 0.5873  1 Ga 2.81, 2 Te 2.83-2.93, 2 Hg 2.89-3.01
Ga 0.2635 0.8508 0.9278  1 Ga 2.81, 2 Te 2.83-2.93, 2 Hg 2.89-3.01
Ga 0.1643 0.0873 0.7365  1 Ga 2.81, 2 Te 2.83-2.93, 2 Hg 2.89-3.01
Ga 0.8508 0.5873 0.9230  1 Ga 2.81, 2 Te 2.83-2.93, 2 Hg 2.89-3.01
Ga 0.5722 0.2365 0.1492  1 Ga 2.81, 2 Te 2.83-2.93, 2 Hg 2.89-3.01
Ga 0.5770 0.6492 0.4127  1 Ga 2.81, 2 Te 2.83-2.93, 2 Hg 2.89-3.01
Ga 0.6492 0.0722 0.2365  1 Ga 2.81, 2 Te 2.83-2.93, 2 Hg 2.89-3.01
Ga 0.8357 0.9230 0.0722  1 Ga 2.81, 2 Te 2.83-2.93, 2 Hg 2.89-3.01
Ga 0.0722 0.6492 0.7365  1 Ga 2.81, 2 Te 2.83-2.93, 2 Hg 2.89-3.01
Ga 0.4278 0.7635 0.8508  1 Ga 2.81, 2 Te 2.83-2.93, 2 Hg 2.89-3.01
Ga 0.1492 0.4127 0.0770  1 Ga 2.81, 2 Te 2.83-2.93, 2 Hg 2.89-3.01
Ga 0.7365 0.5873 0.1643  1 Ga 2.81, 2 Te 2.83-2.93, 2 Hg 2.89-3.01
Te 0.0000 0.0000 0.5000  6 Ga 2.93
Te 0.3750 0.1250 0.7500  4 Ga 2.83
Te 0.5000 0.0000 0.0000  6 Ga 2.93
Te 0.0000 0.5000 0.5000  6 Ga 2.93
Te 0.3750 0.2500 0.1250  4 Ga 2.83
Te 0.0000 0.0000 0.0000  6 Ga 2.93
Te 0.7500 0.6250 0.3750  4 Ga 2.83
Te 0.6250 0.7500 0.8750  4 Ga 2.83
Te 0.8750 0.6250 0.7500  4 Ga 2.83
Te 0.1250 0.3750 0.2500  4 Ga 2.83
Te 0.0000 0.5000 0.0000  6 Ga 2.93
Te 0.5000 0.0000 0.5000  6 Ga 2.93
Te 0.1250 0.7500 0.3750  4 Ga 2.83
Te 0.6250 0.8750 0.2500  4 Ga 2.83
Te 0.5000 0.5000 0.0000  6 Ga 2.93
Te 0.8750 0.2500 0.6250  4 Ga 2.83
Te 0.2500 0.8750 0.1250  4 Ga 2.83
Te 0.2500 0.3750 0.6250  4 Ga 2.83
Te 0.7500 0.1250 0.8750  4 Ga 2.83
Te 0.5000 0.5000 0.5000  6 Ga 2.93
Hg 0.7500 0.3750 0.1250  8 Ga 2.89-3.01
Hg 0.6250 0.2500 0.3750  8 Ga 2.89-3.01
Hg 0.8750 0.7500 0.1250  8 Ga 2.89-3.01
Hg 0.7500 0.8750 0.6250  8 Ga 2.89-3.01
Hg 0.1250 0.2500 0.8750  8 Ga 2.89-3.01
Hg 0.2500 0.6250 0.8750  8 Ga 2.89-3.01
Hg 0.1250 0.8750 0.7500  8 Ga 2.89-3.01
Hg 0.3750 0.6250 0.2500  8 Ga 2.89-3.01
Hg 0.6250 0.3750 0.7500  8 Ga 2.89-3.01
Hg 0.2500 0.1250 0.3750  8 Ga 2.89-3.01
Hg 0.3750 0.7500 0.6250  8 Ga 2.89-3.01
Hg 0.8750 0.1250 0.2500  8 Ga 2.89-3.01

# 5
Density functional theory data (GGA-PBE) for KZnCrCl2 after structural relaxation.

## Properties
- Mass density: 2.0 g/cm³
- Electronic total energy: -14.5 eV per cell
- Spin magnetization: 5.00 μB per formula unit
- Space group: P4/mmm, No. 123
- Energy relative to the elements, uncorrected: 0.2417 eV/atom

Cell lengths 5.6326, 5.8956, 5.6326 Å; angles 90.00, 90.00, 90.00 degrees
Last column: nearest neighbours and their distance in Å.
Fractional coordinates of all 5 atoms:
Zn 0.5000 0.5000 0.5000  4 Cr 3.98, 8 Cl 4.08
Cl 0.0000 0.0000 0.5000  2 K 2.82
Cl 0.5000 0.0000 0.0000  2 K 2.82
Cr 0.0000 0.5000 0.0000  2 K 2.95
K 0.0000 0.0000 0.0000  4 Cl 2.82, 2 Cr 2.95

# 6
Density functional theory data (GGA-PBE) for ZrTiCu after structural relaxation.

## Properties
- Mass density: 6.4 g/cm³
- E above lowest polymorph: 0.000 eV/atom
- Electronic total energy: -20.9 eV per cell
- Spin magnetization: 0.00 μB per formula unit
- Space group: I4mm, No. 107

Cell lengths 5.8858, 5.8858, 5.8858 Å; angles 149.47, 149.47, 43.72 degrees
Last column: nearest neighbours and their distance in Å.
Fractional coordinates of all 3 atoms:
Ti 0.6503 0.6503 0.0000  4 Cu 2.65
Zr 0.3353 0.3353 0.0000  4 Cu 2.94, 4 Ti 2.98, 4 Zr 3.10
Cu 0.0144 0.0144 0.0000  4 Ti 2.65, 4 Zr 2.94

# 7
Density functional theory data (GGA-PBE) for AlCoAu4 after structural relaxation.

## Properties
- Mass density: 12.8 g/cm³
- Electronic total energy: -21.6 eV per cell
- Spin magnetization: 1.89 μB per formula unit
- Space group: F-43m, No. 216

Cell lengths 5.4298, 5.4298, 5.4298 Å; angles 60.00, 60.00, 60.00 degrees
Last column: nearest neighbours and their distance in Å.
Fractional coordinates of all 6 atoms:
Au 0.3752 0.3752 0.8745  6 Au 2.71-2.72
Au 0.3752 0.8745 0.3752  6 Au 2.71-2.72
Au 0.8745 0.3752 0.3752  6 Au 2.71-2.72
Au 0.3752 0.3752 0.3752  6 Au 2.71-2.72
Al 0.0000 0.0000 0.0000  12 Au 3.18, 4 Co 3.33
Co 0.7500 0.7500 0.7500  12 Au 3.18, 4 Al 3.33

# 8
Density functional theory data (GGA-PBE) for Sc2SbS6 after structural relaxation.

## Properties
- Mass density: 3.5 g/cm³
- Electronic total energy: -98.8 eV per cell
- Spin magnetization: 0.00 μB per formula unit
- Space group: P2_1/c, No. 14
- Energy relative to the elements, uncorrected: -0.8713 eV/atom

Cell lengths 6.3252, 6.2759, 9.7682 Å; angles 90.00, 96.73, 90.00 degrees
Last column: nearest neighbours and their distance in Å.
Fractional coordinates of all 18 atoms:
S 0.8152 0.6744 0.5871  1 Sb 2.55, 2 Sc 2.59-2.60
S 0.8157 0.6994 0.9340  1 Sb 2.50, 2 Sc 2.61-2.74
S 0.8035 0.9150 0.2673  1 Sb 2.52, 2 Sc 2.61-2.63
S 0.6843 0.1994 0.5660  1 Sb 2.50, 2 Sc 2.61-2.74
S 0.1965 0.0850 0.7327  1 Sb 2.52, 2 Sc 2.61-2.63
S 0.1848 0.3256 0.4129  1 Sb 2.55, 2 Sc 2.59-2.60
S 0.3035 0.5850 0.7673  1 Sb 2.52, 2 Sc 2.61-2.63
S 0.1843 0.3006 0.0660  1 Sb 2.50, 2 Sc 2.61-2.74
S 0.3152 0.8256 0.0871  1 Sb 2.55, 2 Sc 2.59-2.60
S 0.6848 0.1744 0.9129  1 Sb 2.55, 2 Sc 2.59-2.60
S 0.6965 0.4150 0.2327  1 Sb 2.52, 2 Sc 2.61-2.63
S 0.3157 0.8006 0.4340  1 Sb 2.50, 2 Sc 2.61-2.74
Sb 0.0000 0.0000 0.5000  6 S 2.50-2.55
Sb 0.5000 0.5000 0.0000  6 S 2.50-2.55
Sc 0.9365 0.3974 0.7760  6 S 2.59-2.74
Sc 0.0635 0.6026 0.2240  6 S 2.59-2.74
Sc 0.5635 0.8974 0.7240  6 S 2.59-2.74
Sc 0.4365 0.1026 0.2760  6 S 2.59-2.74

What is the mass density in the sixth record?
6.4 g/cm³

Copy entry 3 word for word.
Density functional theory data (GGA-PBE) for UPaH2 after structural relaxation.

## Properties
- Mass density: 16.0 g/cm³
- E above lowest polymorph: 0.318 eV/atom
- Electronic total energy: -26.4 eV per cell
- Spin magnetization: 0.00 μB per formula unit
- Space group: P4/mmm, No. 123

Cell lengths 2.9165, 4.0889, 4.0889 Å; angles 90.00, 90.00, 90.00 degrees
Last column: nearest neighbours and their distance in Å.
Fractional coordinates of all 4 atoms:
U 0.5000 0.0000 0.0000  8 H 2.51
H 0.0000 0.0000 0.5000  4 Pa 2.51, 4 U 2.51
H 0.0000 0.5000 0.0000  4 Pa 2.51, 4 U 2.51
Pa 0.5000 0.5000 0.5000  8 H 2.51

Which of these has the lowest electronic total energy?
Ga12Hg3Te5